Record 1
HgBr5 | PBE | optimized geometry

Results
E: -6.699 eV per formula unit
formation energy (no corrections): 0.328 eV/atom
ΔE to the lowest computed polymorph: 0.3967 eV per atom

The structure in CIF format:
```
data_HgBr5
_space_group_name_H-M_alt 'P 1'
_space_group_IT_number 1
_cell_length_a 3.6346
_cell_length_b 3.6346
_cell_length_c 13.0329
_cell_angle_alpha 90.00
_cell_angle_beta 90.00
_cell_angle_gamma 90.00
loop_
_space_group_symop_operation_xyz
'x,y,z'
loop_
_atom_site_label
_atom_site_type_symbol
_atom_site_fract_x
_atom_site_fract_y
_atom_site_fract_z
Hg1 Hg 0.0000 0.0000 0.0000
Br1 Br 0.0000 0.0000 0.3602
Br2 Br 0.0000 0.0000 0.6398
Br3 Br 0.5000 0.5000 0.1312
Br4 Br 0.5000 0.5000 0.5000
Br5 Br 0.5000 0.5000 0.8688
```



Record 2
Hg3Br | PBE | optimized geometry

Results
E: -1.941 eV per formula unit
formation energy (no corrections): 0.159 eV/atom
ΔE to the lowest computed polymorph: 0.3075 eV per atom

The structure in CIF format:
```
data_Hg3Br
_space_group_name_H-M_alt 'P 1'
_space_group_IT_number 1
_cell_length_a 6.3519
_cell_length_b 6.3519
_cell_length_c 6.3519
_cell_angle_alpha 90.00
_cell_angle_beta 90.00
_cell_angle_gamma 90.00
loop_
_space_group_symop_operation_xyz
'x,y,z'
loop_
_atom_site_label
_atom_site_type_symbol
_atom_site_fract_x
_atom_site_fract_y
_atom_site_fract_z
Hg1 Hg 0.0000 0.0000 0.5000
Hg2 Hg 0.0000 0.5000 0.0000
Hg3 Hg 0.5000 0.0000 0.0000
Br1 Br 0.0000 0.0000 0.0000
```



Record 3
HgBr | PBE | optimized geometry

Results
E: -2.533 eV per formula unit
formation energy (no corrections): -0.279 eV/atom
ΔE to the lowest computed polymorph: 0.1263 eV per atom

The structure in CIF format:
```
data_HgBr
_space_group_name_H-M_alt 'P 1'
_space_group_IT_number 1
_cell_length_a 5.7292
_cell_length_b 3.9485
_cell_length_c 5.7332
_cell_angle_alpha 90.00
_cell_angle_beta 112.31
_cell_angle_gamma 90.00
loop_
_space_group_symop_operation_xyz
'x,y,z'
loop_
_atom_site_label
_atom_site_type_symbol
_atom_site_fract_x
_atom_site_fract_y
_atom_site_fract_z
Hg1 Hg 0.1114 0.2500 0.3905
Hg2 Hg 0.8886 0.7500 0.6095
Br1 Br 0.3290 0.7500 0.1715
Br2 Br 0.6710 0.2500 0.8285
```



Record 4
HgBr | PBE | optimized geometry

Results
E: -2.285 eV per formula unit
formation energy (no corrections): -0.155 eV/atom
ΔE to the lowest computed polymorph: 0.2502 eV per atom

The structure in CIF format:
```
data_HgBr
_space_group_name_H-M_alt 'P 1'
_space_group_IT_number 1
_cell_length_a 4.4911
_cell_length_b 4.4911
_cell_length_c 4.1508
_cell_angle_alpha 90.00
_cell_angle_beta 90.00
_cell_angle_gamma 123.94
loop_
_space_group_symop_operation_xyz
'x,y,z'
loop_
_atom_site_label
_atom_site_type_symbol
_atom_site_fract_x
_atom_site_fract_y
_atom_site_fract_z
Hg1 Hg 0.0000 0.0000 0.0000
Br1 Br 0.5000 0.5000 0.5000
```